[1]
This record from Alexandria via LeMat-Bulk describes a crystal of Al2ReIrW relaxed with PBEsol. The functional is SCAN.

Values from the calculation:
* DOS at the Fermi energy: 4.82 states/eV/f.u.
* ΔE_f: 1423 meV per atom

Cell: 4.547 4.547 4.653 Å, 90.00 90.00 90.00°
Fractional coordinates of all 5 atoms:
Re 0.000 0.000 0.000
Ir 0.500 0.500 0.500
Al 0.000 0.500 0.000
Al 0.500 0.000 0.000
W 0.000 0.000 0.500

[2]
This record from Alexandria via LeMat-Bulk describes a crystal of TcMo2W relaxed with PBEsol. The functional is SCAN.

Values from the calculation:
* DOS at the Fermi energy: 3.29 states/eV/f.u.
* ΔE_f: 31 meV per atom
* offset from the most stable computed form: 0.63 kcal/mol of atoms

Cell: 3.107 4.409 4.409 Å, 90.00 90.00 90.00°
Fractional coordinates of all 4 atoms:
Mo 0.000 0.000 0.500
Mo 0.000 0.500 0.000
Tc 0.500 0.500 0.500
W 0.500 0.000 0.000

[3]
This record from Alexandria via LeMat-Bulk describes a crystal of LiFe2Pb relaxed with PBEsol. The functional is SCAN.

Values from the calculation:
* DOS at the Fermi energy: 4.33 states/eV/f.u.
* ΔE_f: 471 meV per atom

Cell: 3.319 3.319 5.442 Å, 90.00 90.00 90.00°
Fractional coordinates of all 4 atoms:
Fe 0.000 0.000 0.790
Fe 0.000 0.000 0.210
Li 0.500 0.500 0.000
Pb 0.500 0.500 0.500

[4]
This record from Alexandria via LeMat-Bulk describes a crystal of Mg3Hg5 relaxed with PBEsol. The functional is SCAN.

Values from the calculation:
* DOS at the Fermi energy: 3.04 states/eV/f.u.
* ΔE_f: -188 meV per atom
* offset from the most stable computed form: 0.80 kcal/mol of atoms

Cell: 5.888 8.318 8.318 Å, 120.00 90.00 90.00°
Fractional coordinates of all 16 atoms:
Hg 0.750 0.275 0.775
Hg 0.250 0.725 0.225
Hg 0.750 0.500 0.225
Hg 0.250 0.276 0.000
Hg 0.500 0.833 0.666
Hg 0.000 0.833 0.666
Hg 0.500 0.167 0.334
Hg 0.000 0.167 0.334
Hg 0.250 0.500 0.775
Hg 0.750 0.724 0.000
Mg 0.250 0.098 0.598
Mg 0.750 0.902 0.402
Mg 0.250 0.500 0.402
Mg 0.750 0.097 0.000
Mg 0.750 0.500 0.598
Mg 0.250 0.903 0.000

Repeat the third record exactly.
This record from Alexandria via LeMat-Bulk describes a crystal of LiFe2Pb relaxed with PBEsol. The functional is SCAN.

Values from the calculation:
* DOS at the Fermi energy: 4.33 states/eV/f.u.
* ΔE_f: 471 meV per atom

Cell: 3.319 3.319 5.442 Å, 90.00 90.00 90.00°
Fractional coordinates of all 4 atoms:
Fe 0.000 0.000 0.790
Fe 0.000 0.000 0.210
Li 0.500 0.500 0.000
Pb 0.500 0.500 0.500

- Number 3 is which compound?
  LiFe2Pb

- Which value of DOS at the Fermi energy does entry 3 give?
  4.33 states/eV/f.u.

- What is the formula in the third record?
  LiFe2Pb